(1)
Compound: Y3VB7
Source: Alexandria via LeMat-Bulk
Functional: GGA-PBE
Structure: relaxed

Calculated values
**Space group**: Cmcm (63)
**ΔE_f**: -6.761 eV/f.u.

a b c (Å): 8.155 8.155 9.432
angles (deg): 90.00 90.00 155.64
Sites, in units of the cell vectors:
Y (0.106, 0.894, 0.560)
Y (0.106, 0.894, 0.940)
Y (0.243, 0.757, 0.250)
Y (0.757, 0.243, 0.750)
Y (0.894, 0.106, 0.060)
Y (0.894, 0.106, 0.440)
V (0.053, 0.947, 0.250)
V (0.947, 0.053, 0.750)
B (0.273, 0.727, 0.532)
B (0.273, 0.727, 0.968)
B (0.368, 0.632, 0.649)
B (0.368, 0.632, 0.851)
B (0.459, 0.541, 0.250)
B (0.479, 0.521, 0.595)
B (0.479, 0.521, 0.905)
B (0.521, 0.479, 0.095)
B (0.521, 0.479, 0.405)
B (0.541, 0.459, 0.750)
B (0.632, 0.368, 0.149)
B (0.632, 0.368, 0.351)
B (0.727, 0.273, 0.032)
B (0.727, 0.273, 0.468)

=====

(2)
Compound: TbPuZnSi
Source: Alexandria via LeMat-Bulk
Functional: GGA-PBE
Structure: relaxed

Calculated values
**Space group**: F-43m (216)
**ΔE_f (raw)**: -315.9 meV per atom

a b c (Å): 4.996 4.996 4.996
angles (deg): 60.00 60.00 60.00
Sites, in units of the cell vectors:
Tb (0.000, 0.000, 0.000)
Pu (0.500, 0.500, 0.500)
Zn (0.750, 0.750, 0.750)
Si (0.250, 0.250, 0.250)

=====

(3)
Compound: TbDy2Y2Sc
Source: Alexandria via LeMat-Bulk
Functional: GGA-PBE
Structure: relaxed

Calculated values
**Space group**: Pnnm (58)
**ΔE_f**: 1.615 eV/f.u.

a b c (Å): 6.498 17.365 3.328
angles (deg): 90.00 90.00 90.00
Sites, in units of the cell vectors:
Tb (0.000, 0.000, 0.000)
Tb (0.500, 0.500, 0.500)
Dy (0.246, 0.145, 0.500)
Dy (0.254, 0.645, 0.000)
Dy (0.746, 0.355, 0.000)
Dy (0.754, 0.855, 0.500)
Y (0.246, 0.318, 0.000)
Y (0.254, 0.818, 0.500)
Y (0.746, 0.182, 0.500)
Y (0.754, 0.682, 0.000)
Sc (0.000, 0.500, 0.000)
Sc (0.500, 0.000, 0.500)